Computed, not measured: a relaxed structure of Cu2PtW at the GGA-PBE level of DFT.

Output
* VASP energy: -6.128 eV/atom
* DOS(E_F): 0.7912 states/eV per atom
* calculated formation energy: 65 kJ/mol of atoms

```
16
Lattice="6.883 0.000 0.000 0.000 6.883 0.000 0.000 0.000 5.151" Properties=species:S:1:pos:R:3 pbc="T T T"
Cu 1.723 1.721 0.644
Cu 1.718 1.721 3.220
Cu 1.721 5.165 1.932
Cu 1.721 5.160 4.508
Cu 5.162 1.718 1.932
Cu 5.162 1.723 4.508
Cu 5.160 5.162 0.644
Cu 5.165 5.162 3.220
Pt 0.000 0.000 0.000
Pt 0.000 3.442 1.288
Pt 3.442 0.000 3.864
Pt 3.442 3.442 2.576
W 0.000 0.000 2.576
W 0.000 3.442 3.864
W 3.442 0.000 1.288
W 3.442 3.442 0.000
```

---

Computed, not measured: a relaxed structure of CuPt4W at the GGA-PBE level of DFT.

Output
* E above lowest polymorph: 0.0000 eV per atom
* VASP energy: -7.080 eV/atom
* DOS(E_F): 0.6794 states/eV per atom
* calculated formation energy: -20 kJ/mol of atoms

```
12
Lattice="12.115 0.000 0.000 0.000 2.770 0.000 -1.258 0.000 5.426" Properties=species:S:1:pos:R:3 pbc="T T T"
Cu 0.000 0.000 0.000
Cu 6.057 1.385 0.000
Pt 1.507 1.385 1.777
Pt 0.872 1.385 4.514
Pt 3.927 0.000 0.911
Pt 3.292 0.000 3.649
Pt 7.564 0.000 1.777
Pt 6.930 0.000 4.514
Pt 9.984 1.385 0.911
Pt 9.349 1.385 3.649
W -0.629 0.000 2.713
W 5.428 1.385 2.713
```

---

Computed, not measured: a relaxed structure of CuPtW at the GGA-PBE level of DFT.

Output
* E above lowest polymorph: 0.0000 eV per atom
* VASP energy: -7.854 eV/atom
* DOS(E_F): 0.5757 states/eV per atom
* calculated formation energy: -15 kJ/mol of atoms

```
6
Lattice="2.787 0.000 0.000 0.000 2.787 0.000 0.000 0.000 11.295" Properties=species:S:1:pos:R:3 pbc="T T T"
Cu 0.697 0.697 0.785
Cu 2.090 2.090 10.510
Pt 0.697 0.697 8.637
Pt 2.090 2.090 2.658
W 0.697 0.697 4.563
W 2.090 2.090 6.732
```

---

Computed, not measured: a relaxed structure of Cu2PtW at the GGA-PBE level of DFT.

Output
* VASP energy: -6.809 eV/atom
* DOS(E_F): 0.6403 states/eV per atom
* calculated formation energy: -1 kJ/mol of atoms

```
4
Lattice="2.752 0.000 0.000 0.000 2.752 0.000 0.000 0.000 7.356" Properties=species:S:1:pos:R:3 pbc="T T T"
Cu 0.000 0.000 0.000
Cu 1.376 1.376 1.610
Pt 0.000 0.000 3.490
W 1.376 1.376 5.462
```

---

Computed, not measured: a relaxed structure of Cu2PtW at the GGA-PBE level of DFT.

Output
* VASP energy: -6.500 eV/atom
* DOS(E_F): 0.9801 states/eV per atom
* calculated formation energy: 29 kJ/mol of atoms

```
4
Lattice="4.486 0.000 0.000 0.000 4.486 0.000 0.000 0.000 2.773" Properties=species:S:1:pos:R:3 pbc="T T T"
Cu 0.000 2.243 0.000
Cu 2.243 0.000 0.000
Pt 0.000 0.000 1.386
W 2.243 2.243 1.386
```

---

Computed, not measured: a relaxed structure of Cu2PtW at the GGA-PBE level of DFT.

Output
* VASP energy: -6.658 eV/atom
* DOS(E_F): 0.5570 states/eV per atom
* calculated formation energy: 13 kJ/mol of atoms

```
8
Lattice="2.801 0.000 0.000 0.000 4.479 0.000 0.000 0.000 8.822" Properties=species:S:1:pos:R:3 pbc="T T T"
Cu 0.000 0.000 0.000
Cu 0.000 2.239 2.420
Cu 1.401 0.000 6.831
Cu 1.401 2.239 4.411
Pt 0.000 0.000 4.607
Pt 1.401 2.239 0.196
W 0.000 2.239 6.683
W 1.401 0.000 2.272
```

---

Computed, not measured: a relaxed structure of Cu2PtW at the GGA-PBE level of DFT.

Output
* VASP energy: -6.617 eV/atom
* DOS(E_F): 0.8255 states/eV per atom
* calculated formation energy: 17 kJ/mol of atoms

```
4
Lattice="2.702 0.000 0.000 0.000 4.596 0.000 0.000 0.000 4.672" Properties=species:S:1:pos:R:3 pbc="T T T"
Cu 0.000 0.000 0.000
Cu 1.351 0.000 2.336
Pt 0.000 2.298 2.336
W 1.351 2.298 0.000
```

---

Computed, not measured: a relaxed structure of CuPtW2 at the GGA-PBE level of DFT.

Output
* E above lowest polymorph: 0.1437 eV per atom
* VASP energy: -8.853 eV/atom
* DOS(E_F): 1.0113 states/eV per atom
* calculated formation energy: 15 kJ/mol of atoms

```
12
Lattice="2.784 0.000 0.000 -1.392 2.411 0.000 0.000 0.000 27.304" Properties=species:S:1:pos:R:3 pbc="T T T"
Cu 0.000 0.000 0.000
Cu 0.000 1.608 18.203
Cu 1.392 0.804 9.101
Pt 0.000 0.000 6.908
Pt 0.000 1.608 25.111
Pt 1.392 0.804 16.010
W 0.000 0.000 13.732
W 0.000 0.000 20.393
W 0.000 1.608 4.630
W 0.000 1.608 11.292
W 1.392 0.804 2.190
W 1.392 0.804 22.833
```

---

Computed, not measured: a relaxed structure of CuPtW2 at the GGA-PBE level of DFT.

Output
* E above lowest polymorph: 0.0734 eV per atom
* VASP energy: -8.923 eV/atom
* DOS(E_F): 1.0155 states/eV per atom
* calculated formation energy: 8 kJ/mol of atoms

```
8
Lattice="3.768 0.000 0.000 0.000 3.768 0.000 0.000 0.000 8.425" Properties=species:S:1:pos:R:3 pbc="T T T"
Cu 0.000 0.000 0.000
Cu 1.884 1.884 4.213
Pt 0.000 0.000 4.213
Pt 1.884 1.884 0.000
W 0.000 1.884 2.106
W 0.000 1.884 6.319
W 1.884 0.000 2.106
W 1.884 0.000 6.319
```

---

Computed, not measured: a relaxed structure of CuPtW2 at the GGA-PBE level of DFT.

Output
* E above lowest polymorph: 0.0073 eV per atom
* VASP energy: -8.989 eV/atom
* DOS(E_F): 0.6292 states/eV per atom
* calculated formation energy: 2 kJ/mol of atoms

```
4
Lattice="2.694 0.000 0.000 0.000 4.352 0.000 -0.610 0.000 5.115" Properties=species:S:1:pos:R:3 pbc="T T T"
Cu 0.000 0.000 0.000
Pt -0.039 2.176 1.373
W 0.652 2.176 4.064
W 1.390 0.000 2.562
```

---

Computed, not measured: a relaxed structure of Cu2PtW at the GGA-PBE level of DFT.

Output
* VASP energy: -6.688 eV/atom
* DOS(E_F): 0.8675 states/eV per atom
* calculated formation energy: 10 kJ/mol of atoms

```
4
Lattice="2.712 0.000 0.000 0.000 2.712 0.000 0.000 0.000 7.619" Properties=species:S:1:pos:R:3 pbc="T T T"
Cu 0.000 0.000 1.870
Cu 0.000 0.000 5.748
Pt 1.356 1.356 0.000
W 1.356 1.356 3.809
```

---

Computed, not measured: a relaxed structure of Cu2PtW at the GGA-PBE level of DFT.

Output
* VASP energy: -6.559 eV/atom
* DOS(E_F): 0.9666 states/eV per atom
* calculated formation energy: 23 kJ/mol of atoms

```
8
Lattice="5.290 0.000 0.000 0.000 8.030 0.000 0.000 0.000 2.670" Properties=species:S:1:pos:R:3 pbc="T T T"
Cu 1.322 2.008 0.000
Cu 1.322 6.023 0.000
Cu 3.967 2.008 0.000
Cu 3.967 6.023 0.000
Pt 0.000 0.000 1.335
Pt 2.645 4.015 1.335
W 0.000 4.015 1.335
W 2.645 0.000 1.335
```

---

Computed, not measured: a relaxed structure of CuPtW2 at the GGA-PBE level of DFT.

Output
* E above lowest polymorph: 0.0478 eV per atom
* VASP energy: -8.949 eV/atom
* DOS(E_F): 0.4973 states/eV per atom
* calculated formation energy: 6 kJ/mol of atoms

```
4
Lattice="2.698 0.000 0.000 0.000 4.109 0.000 0.000 0.000 5.388" Properties=species:S:1:pos:R:3 pbc="T T T"
Cu 0.000 0.000 0.000
Pt 0.000 0.000 2.694
W 1.349 2.054 1.289
W 1.349 2.054 4.099
```

---

Computed, not measured: a relaxed structure of CuPtW2 at the GGA-PBE level of DFT.

Output
* E above lowest polymorph: 0.3176 eV per atom
* VASP energy: -8.679 eV/atom
* DOS(E_F): 1.2663 states/eV per atom
* calculated formation energy: 32 kJ/mol of atoms

```
4
Lattice="3.348 0.000 0.000 0.000 3.348 0.000 0.000 0.000 5.442" Properties=species:S:1:pos:R:3 pbc="T T T"
Cu 0.000 0.000 0.000
Pt 0.000 0.000 2.721
W 1.674 1.674 1.251
W 1.674 1.674 4.191
```

---

Computed, not measured: a relaxed structure of CuPtW2 at the GGA-PBE level of DFT.

Output
* E above lowest polymorph: 0.0807 eV per atom
* VASP energy: -8.916 eV/atom
* DOS(E_F): 0.9609 states/eV per atom
* calculated formation energy: 9 kJ/mol of atoms

```
4
Lattice="3.769 0.000 0.000 0.000 3.825 0.000 0.000 0.000 4.150" Properties=species:S:1:pos:R:3 pbc="T T T"
Cu 0.000 0.000 0.000
Pt 1.884 1.913 0.000
W 0.000 1.913 2.075
W 1.884 0.000 2.075
```

---

Computed, not measured: a relaxed structure of CuPtW2 at the GGA-PBE level of DFT.

Output
* E above lowest polymorph: 0.1253 eV per atom
* VASP energy: -8.871 eV/atom
* DOS(E_F): 0.8550 states/eV per atom
* calculated formation energy: 13 kJ/mol of atoms

```
8
Lattice="9.429 0.000 0.000 0.000 2.884 0.000 -0.917 0.000 4.463" Properties=species:S:1:pos:R:3 pbc="T T T"
Cu 0.000 0.000 0.000
Cu 4.714 1.442 0.000
Pt -0.459 1.442 2.231
Pt 4.256 0.000 2.231
W 1.649 0.000 3.345
W 2.148 1.442 1.118
W 6.364 1.442 3.345
W 6.862 0.000 1.118
```

---

Computed, not measured: a relaxed structure of CuPtW4 at the GGA-PBE level of DFT.

Output
* VASP energy: -9.747 eV/atom
* DOS(E_F): 0.5758 states/eV per atom
* calculated formation energy: 56 kJ/mol of atoms

```
6
Lattice="0.000 3.693 3.693 3.693 0.000 3.693 3.693 3.693 0.000" Properties=species:S:1:pos:R:3 pbc="T T T"
Cu 0.000 0.000 0.000
Pt 5.539 5.539 5.539
W 2.759 2.759 2.759
W 4.626 4.626 2.759
W 4.626 2.759 4.626
W 2.759 4.626 4.626
```

---

Computed, not measured: a relaxed structure of CuPtW at the GGA-PBE level of DFT.

Output
* E above lowest polymorph: 0.1247 eV per atom
* VASP energy: -7.729 eV/atom
* DOS(E_F): 0.6693 states/eV per atom
* calculated formation energy: -3 kJ/mol of atoms

```
6
Lattice="2.750 0.000 0.000 0.000 3.927 0.000 0.000 0.000 8.078" Properties=species:S:1:pos:R:3 pbc="T T T"
Cu 0.000 0.000 0.000
Cu 1.375 1.964 4.039
Pt 0.000 0.000 5.401
Pt 1.375 1.964 1.362
W 0.000 0.000 2.709
W 1.375 1.964 6.748
```

---

Computed, not measured: a relaxed structure of Cu2PtW at the GGA-PBE level of DFT.

Output
* VASP energy: -6.718 eV/atom
* DOS(E_F): 0.4479 states/eV per atom
* calculated formation energy: 8 kJ/mol of atoms

```
12
Lattice="2.736 0.000 0.000 -1.368 2.370 0.000 0.000 0.000 26.335" Properties=species:S:1:pos:R:3 pbc="T T T"
Cu 0.000 0.000 6.595
Cu 0.000 0.000 19.740
Cu 0.000 1.580 10.962
Cu 0.000 1.580 24.151
Cu 1.368 0.790 2.184
Cu 1.368 0.790 15.373
Pt 0.000 0.000 0.000
Pt 0.000 1.580 17.557
Pt 1.368 0.790 8.778
W 0.000 0.000 13.167
W 0.000 1.580 4.389
W 1.368 0.790 21.946
```

---

Computed, not measured: a relaxed structure of CuPtW2 at the GGA-PBE level of DFT.

Output
* E above lowest polymorph: 0.0254 eV per atom
* VASP energy: -8.971 eV/atom
* DOS(E_F): 0.5375 states/eV per atom
* calculated formation energy: 4 kJ/mol of atoms

```
4
Lattice="2.712 0.000 0.000 0.000 3.954 0.000 0.000 0.000 5.625" Properties=species:S:1:pos:R:3 pbc="T T T"
Cu 0.000 0.000 0.000
Pt 1.356 1.977 1.326
W 0.000 0.000 2.801
W 1.356 1.977 4.285
```

---

Computed, not measured: a relaxed structure of Cu3PtW at the GGA-PBE level of DFT.

Output
* E above lowest polymorph: 0.2210 eV per atom
* VASP energy: -4.437 eV/atom
* DOS(E_F): 0.8764 states/eV per atom
* calculated formation energy: 176 kJ/mol of atoms

```
5
Lattice="4.604 0.000 0.000 0.000 4.604 0.000 0.000 0.000 4.604" Properties=species:S:1:pos:R:3 pbc="T T T"
Cu 0.000 0.000 2.302
Cu 0.000 2.302 0.000
Cu 2.302 0.000 0.000
Pt 2.302 2.302 2.302
W 0.000 0.000 0.000
```

---

Computed, not measured: a relaxed structure of CuPt3W at the GGA-PBE level of DFT.

Output
* E above lowest polymorph: 1.1095 eV per atom
* VASP energy: -5.746 eV/atom
* DOS(E_F): 0.9665 states/eV per atom
* calculated formation energy: 124 kJ/mol of atoms

```
5
Lattice="4.840 0.000 0.000 0.000 4.840 0.000 0.000 0.000 4.840" Properties=species:S:1:pos:R:3 pbc="T T T"
Cu 0.000 0.000 0.000
Pt 0.000 2.420 2.420
Pt 2.420 0.000 2.420
Pt 2.420 2.420 0.000
W 2.420 2.420 2.420
```

---

Computed, not measured: a relaxed structure of CuPtW2 at the GGA-PBE level of DFT.

Output
* E above lowest polymorph: 0.0000 eV per atom
* VASP energy: -8.997 eV/atom
* DOS(E_F): 0.4712 states/eV per atom
* calculated formation energy: 1 kJ/mol of atoms

```
8
Lattice="3.879 0.000 0.000 0.000 3.888 0.000 0.000 0.000 7.974" Properties=species:S:1:pos:R:3 pbc="T T T"
Cu 0.000 0.000 0.000
Cu 1.939 1.944 0.000
Pt 0.000 1.944 1.922
Pt 1.939 0.000 1.922
W 0.000 0.000 3.860
W 0.000 1.944 6.104
W 1.939 0.000 6.104
W 1.939 1.944 3.860
```

---

Computed, not measured: a relaxed structure of CuPtW2 at the GGA-PBE level of DFT.

Output
* E above lowest polymorph: 0.0603 eV per atom
* VASP energy: -8.936 eV/atom
* DOS(E_F): 0.4889 states/eV per atom
* calculated formation energy: 7 kJ/mol of atoms

```
8
Lattice="9.044 0.000 0.000 0.000 2.701 0.000 -0.633 0.000 4.944" Properties=species:S:1:pos:R:3 pbc="T T T"
Cu 0.000 0.000 0.000
Cu 4.522 1.351 0.000
Pt 2.114 1.351 1.179
Pt 6.636 0.000 1.179
W 1.788 0.000 3.767
W 4.160 0.000 2.462
W 6.310 1.351 3.767
W 8.682 1.351 2.462
```

---

Computed, not measured: a relaxed structure of CuPt4W at the GGA-PBE level of DFT.

Output
* E above lowest polymorph: 0.5316 eV per atom
* VASP energy: -6.548 eV/atom
* DOS(E_F): 0.7092 states/eV per atom
* calculated formation energy: 31 kJ/mol of atoms

```
6
Lattice="0.000 3.664 3.664 3.664 0.000 3.664 3.664 3.664 0.000" Properties=species:S:1:pos:R:3 pbc="T T T"
Cu 0.000 0.000 0.000
Pt 4.580 2.748 2.748
Pt 2.748 4.580 2.748
Pt 2.748 2.748 4.580
Pt 4.580 4.580 4.580
W 1.832 1.832 1.832
```

---

Computed, not measured: a relaxed structure of CuPtW2 at the GGA-PBE level of DFT.

Output
* E above lowest polymorph: 0.2175 eV per atom
* VASP energy: -8.779 eV/atom
* DOS(E_F): 0.8627 states/eV per atom
* calculated formation energy: 22 kJ/mol of atoms

```
16
Lattice="6.251 0.000 0.000 0.000 6.251 0.000 0.000 0.000 6.251" Properties=species:S:1:pos:R:3 pbc="T T T"
Cu 0.000 0.000 0.000
Cu 0.000 3.126 3.126
Cu 3.126 0.000 3.126
Cu 3.126 3.126 0.000
Pt 1.563 1.563 4.688
Pt 1.563 4.688 1.563
Pt 4.688 1.563 1.563
Pt 4.688 4.688 4.688
W 0.000 0.000 3.126
W 0.000 3.126 0.000
W 1.563 1.563 1.563
W 1.563 4.688 4.688
W 3.126 0.000 0.000
W 3.126 3.126 3.126
W 4.688 1.563 4.688
W 4.688 4.688 1.563
```

---

Computed, not measured: a relaxed structure of CuPt5W4 at the GGA-PBE level of DFT.

Output
* VASP energy: -8.830 eV/atom
* DOS(E_F): 0.7702 states/eV per atom
* calculated formation energy: -21 kJ/mol of atoms

```
10
Lattice="2.762 0.000 0.000 0.000 2.762 0.000 0.000 0.000 20.077" Properties=species:S:1:pos:R:3 pbc="T T T"
Cu 0.000 0.000 0.000
Pt 1.381 1.381 1.891
Pt 1.381 1.381 5.909
Pt 1.381 1.381 10.038
Pt 1.381 1.381 14.167
Pt 1.381 1.381 18.186
W 0.000 0.000 3.826
W 0.000 0.000 7.973
W 0.000 0.000 12.104
W 0.000 0.000 16.251
```

---

Computed, not measured: a relaxed structure of Cu3PtW at the GGA-PBE level of DFT.

Output
* E above lowest polymorph: 0.0000 eV per atom
* VASP energy: -4.658 eV/atom
* DOS(E_F): 0.7810 states/eV per atom
* calculated formation energy: 154 kJ/mol of atoms

```
5
Lattice="4.605 0.000 0.000 0.000 4.605 0.000 0.000 0.000 4.605" Properties=species:S:1:pos:R:3 pbc="T T T"
Cu 0.000 0.000 2.303
Cu 0.000 2.303 0.000
Cu 2.303 0.000 0.000
Pt 0.000 0.000 0.000
W 2.303 2.303 2.303
```

---

Computed, not measured: a relaxed structure of CuPtW at the GGA-PBE level of DFT.

Output
* E above lowest polymorph: 0.1143 eV per atom
* VASP energy: -7.740 eV/atom
* DOS(E_F): 0.5283 states/eV per atom
* calculated formation energy: -4 kJ/mol of atoms

```
6
Lattice="2.782 0.000 0.000 0.000 2.782 0.000 0.000 0.000 11.267" Properties=species:S:1:pos:R:3 pbc="T T T"
Cu 0.000 0.000 0.000
Cu 1.391 1.391 5.633
Pt 0.000 0.000 7.503
Pt 1.391 1.391 1.870
W 0.000 0.000 3.805
W 1.391 1.391 9.438
```

---

Computed, not measured: a relaxed structure of Cu2PtW at the GGA-PBE level of DFT.

Output
* VASP energy: -6.727 eV/atom
* DOS(E_F): 0.5521 states/eV per atom
* calculated formation energy: 7 kJ/mol of atoms

```
8
Lattice="8.902 0.000 0.000 0.000 2.698 0.000 -0.719 0.000 4.718" Properties=species:S:1:pos:R:3 pbc="T T T"
Cu 2.042 0.000 1.142
Cu 1.690 1.349 3.575
Cu 6.494 1.349 1.142
Cu 6.141 0.000 3.575
Pt -0.360 0.000 2.359
Pt 4.092 1.349 2.359
W 0.000 1.349 0.000
W 4.451 0.000 0.000
```